# 1
Computed, not measured: an optimized crystal structure of Tc2OsCl at the PBE level of DFT.

Lattice parameters (Å, degrees): 2.8484 4.5533 4.5674 90.00 90.00 90.00
Space group Pmmm (No. 47)
Symmetry-distinct sites (fractional):
1 Tc 0.0000 0.0000 0.0000 x1
2 Tc 0.5000 0.5000 0.0000 x1
3 Os 0.0000 0.5000 0.5000 x1
4 Cl 0.5000 0.0000 0.5000 x1

formation energy without anion corrections	1.01	eV per atom
M_tot	0.00	μB/f.u.
E	-29.77	eV/cell

***

# 2
Computed, not measured: an optimized crystal structure of Nd4HoIn5 at the PBE level of DFT.

Lattice parameters (Å, degrees): 3.8348 3.8348 19.4040 90.00 90.00 90.00
Space group P4/mmm (No. 123)
Symmetry-distinct sites (fractional):
1 Nd 0.0000 0.0000 0.1018 x2
2 Nd 0.0000 0.0000 0.3057 x2
3 Ho 0.0000 0.0000 0.5000 x1
4 In 0.5000 0.5000 0.0000 x1
5 In 0.5000 0.5000 0.2038 x2
6 In 0.5000 0.5000 0.4084 x2

M_tot	0.00	μB/f.u.
formation energy from the elements	-0.489	eV per atom
E	-42.23	eV/cell

***

# 3
Computed, not measured: an optimized crystal structure of La5Pm8Mg at the PBE level of DFT.

Lattice parameters (Å, degrees): 9.8920 9.8920 10.1083 90.00 90.00 90.00
Space group I-4 (No. 82)
Symmetry-distinct sites (fractional):
1 La 0.0000 0.0000 0.0000 x2
2 La 0.1005 0.7871 0.5816 x8
3 Pm 0.0677 0.6677 0.9124 x8
4 Pm 0.0824 0.8122 0.2453 x8
5 Mg 0.0000 0.5000 0.2500 x2

M_tot	0.00	μB/f.u.
formation energy from the elements	0.205	eV per atom
E	-122.73	eV/cell

***

# 4
Computed, not measured: an optimized crystal structure of YCu2Ag at the PBE level of DFT.

Lattice parameters (Å, degrees): 3.3850 3.4157 6.2287 90.00 90.00 90.00
Space group Pmmm (No. 47)
Symmetry-distinct sites (fractional):
1 Y 0.0000 0.0000 0.0000 x1
2 Cu 0.5000 0.5000 0.2878 x2
3 Ag 0.0000 0.0000 0.5000 x1

M_tot	0.00	μB/f.u.
formation energy from the elements	-0.087	eV per atom
E	-17.85	eV/cell

***

# 5
Computed, not measured: an optimized crystal structure of CrS2 at the PBE level of DFT.

Lattice parameters (Å, degrees): 9.5230 9.5230 9.5230 90.00 90.00 90.00
Space group Fd-3m (No. 227, origin choice 2)
Symmetry-distinct sites (fractional):
1 Cr 0.0000 0.0000 0.0000 x16
2 S 0.0028 0.0028 0.2472 x32

formation energy without anion corrections	-0.52	eV per atom
M_tot	2.05	μB/f.u.
E	-310.90	eV/cell

***

# 6
Computed, not measured: an optimized crystal structure of Nd2Ta2InRh5 at the PBE level of DFT.

Lattice parameters (Å, degrees): 11.1399 11.1399 3.1477 90.00 90.00 90.00
Space group P4/mbm (No. 127)
Symmetry-distinct sites (fractional):
1 Nd 0.1714 0.3286 0.0000 x4
2 Ta 0.1359 0.6359 0.0000 x4
3 In 0.0000 0.0000 0.0000 x2
4 Rh 0.0000 0.5000 0.5000 x2
5 Rh 0.0586 0.8019 0.5000 x8

M_tot	0.00	μB/f.u.
formation energy from the elements	-0.366	eV per atom
E	-152.80	eV/cell

***

# 7
Computed, not measured: an optimized crystal structure of Sr2TbMg at the PBE level of DFT.

Lattice parameters (Å, degrees): 3.7546 3.7546 38.9676 90.00 90.00 120.00
Space group R-3m (No. 166, hexagonal axes)
Symmetry-distinct sites (fractional):
1 Sr 0.0000 0.0000 0.0917 x6
2 Tb 0.0000 0.0000 0.0000 x3
3 Mg 0.0000 0.0000 0.5000 x3

M_tot	0.58	μB/f.u.
formation energy from the elements	0.330	eV per atom
E	-24.80	eV/cell

***

# 8
Computed, not measured: an optimized crystal structure of Re2NiAs at the PBE level of DFT.

Lattice parameters (Å, degrees): 2.9349 3.6635 11.0893 90.00 90.00 90.00
Space group Immm (No. 71)
Symmetry-distinct sites (fractional):
1 Re 0.0000 0.0000 0.1935 x4
2 Ni 0.0000 0.5000 0.0000 x2
3 As 0.0000 0.5000 0.5000 x2

M_tot	0.00	μB/f.u.
formation energy from the elements	0.273	eV per atom
E	-68.47	eV/cell

***

# 9
Computed, not measured: an optimized crystal structure of Be2ZnSiGe at the PBE level of DFT.

Lattice parameters (Å, degrees): 4.1391 4.1391 5.1118 90.00 90.00 90.00
Space group P4/mmm (No. 123)
Symmetry-distinct sites (fractional):
1 Be 0.0000 0.5000 0.0000 x2
2 Zn 0.0000 0.0000 0.5000 x1
3 Si 0.5000 0.5000 0.5000 x1
4 Ge 0.0000 0.0000 0.0000 x1

formation energy without anion corrections	0.89	eV per atom
M_tot	0.00	μB/f.u.
E	-14.31	eV/cell

***

# 10
Computed, not measured: an optimized crystal structure of KNpPt2 at the PBE level of DFT.

Lattice parameters (Å, degrees): 3.4671 3.4671 8.1672 90.00 90.00 90.00
Space group P4/mmm (No. 123)
Symmetry-distinct sites (fractional):
1 K 0.0000 0.0000 0.0000 x1
2 Np 0.0000 0.0000 0.5000 x1
3 Pt 0.5000 0.5000 0.3083 x2

M_tot	3.64	μB/f.u.
formation energy from the elements	-0.315	eV per atom
E	-27.38	eV/cell

***

# 11
Computed, not measured: an optimized crystal structure of Mg2SnHgPt at the PBE level of DFT.

Lattice parameters (Å, degrees): 5.1500 5.1500 5.0107 90.00 90.00 90.00
Space group P4/mmm (No. 123)
Symmetry-distinct sites (fractional):
1 Mg 0.0000 0.5000 0.0000 x2
2 Sn 0.0000 0.0000 0.5000 x1
3 Hg 0.5000 0.5000 0.5000 x1
4 Pt 0.0000 0.0000 0.0000 x1

M_tot	0.00	μB/f.u.
formation energy from the elements	-0.310	eV per atom
E	-15.09	eV/cell

***

# 12
Computed, not measured: an optimized crystal structure of Ni6PH2 at the PBE level of DFT.

Lattice parameters (Å, degrees): 4.7506 4.7506 4.4286 90.00 90.00 120.00
Space group P-31m (No. 162)
Symmetry-distinct sites (fractional):
1 Ni 0.0000 0.3737 0.2423 x6
2 P 0.0000 0.0000 0.5000 x1
3 H 0.3333 0.6667 0.0000 x2

M_tot	0.00	μB/f.u.
E	-47.39	eV/cell